# Zr3Sn4Sb2

Zr3Sn4Sb2 after structural relaxation (GGA-PBE, Alexandria).

Space group: No. 5
V in A^3/atom: 23.03
Energy in eV for the cell shown: -54.2
N(E_F) in states/eV/atom: 0.3282

```
data_Zr3Sn4Sb2
_chemical_formula_sum 'Zr3 Sn4 Sb2'
_space_group_name_H-M_alt 'P 1'
_space_group_IT_number 1
_space_group_name_Hall 'P 1'
_cell_length_a 5.578
_cell_length_b 5.578
_cell_length_c 7.692
_cell_angle_alpha 90.19
_cell_angle_beta 90.19
_cell_angle_gamma 120.01
loop_
_atom_site_label
_atom_site_fract_x
_atom_site_fract_y
_atom_site_fract_z
Zr1 0.000 0.000 0.000
Zr2 0.001 0.485 0.663
Zr3 0.515 0.999 0.337
Sn1 0.331 0.669 0.000
Sn2 0.336 0.153 0.670
Sn3 0.670 0.330 0.000
Sn4 0.847 0.664 0.330
Sb1 0.178 0.329 0.333
Sb2 0.671 0.822 0.667
```

---

# YPO4

YPO4 after structural relaxation (GGA-PBE, Alexandria).

Space group: No. 180
V in A^3/atom: 14.59
Energy in eV for the cell shown: -148.9
N(E_F) in states/eV/atom: 0.0000

```
data_YPO4
_chemical_formula_sum 'Y3 P3 O12'
_space_group_name_H-M_alt 'P 1'
_space_group_IT_number 1
_space_group_name_Hall 'P 1'
_cell_length_a 6.936
_cell_length_b 6.936
_cell_length_c 6.303
_cell_angle_alpha 90.00
_cell_angle_beta 90.00
_cell_angle_gamma 120.00
loop_
_atom_site_label
_atom_site_fract_x
_atom_site_fract_y
_atom_site_fract_z
Y1 0.000 0.500 0.167
Y2 0.500 0.000 0.500
Y3 0.500 0.500 0.833
P1 0.000 0.500 0.667
P2 0.500 0.000 0.000
P3 0.500 0.500 0.333
O1 0.140 0.443 0.819
O2 0.140 0.697 0.515
O3 0.303 0.443 0.181
O4 0.303 0.860 0.152
O5 0.443 0.140 0.848
O6 0.443 0.303 0.485
O7 0.557 0.697 0.485
O8 0.557 0.860 0.848
O9 0.697 0.140 0.152
O10 0.697 0.557 0.181
O11 0.860 0.303 0.515
O12 0.860 0.557 0.819
```

---

# BeCoAu2

BeCoAu2 after structural relaxation (GGA-PBE, Alexandria).

Space group: No. 8
V in A^3/atom: 13.77
Formation energy from the elements in eV per atom: 0.08
N(E_F) in states/eV/atom: 1.1481

```
data_BeCoAu2
_chemical_formula_sum 'Be1 Co1 Au2'
_space_group_name_H-M_alt 'P 1'
_space_group_IT_number 1
_space_group_name_Hall 'P 1'
_cell_length_a 5.189
_cell_length_b 5.189
_cell_length_c 4.351
_cell_angle_alpha 114.62
_cell_angle_beta 114.62
_cell_angle_gamma 31.43
loop_
_atom_site_label
_atom_site_fract_x
_atom_site_fract_y
_atom_site_fract_z
Be1 0.000 0.000 0.000
Co1 0.302 0.302 0.803
Au1 0.511 0.511 0.512
Au2 0.721 0.721 0.222
```

---

# Bi2BrO

Bi2BrO after structural relaxation (GGA-PBE, Alexandria).

Space group: No. 225
ΔE to the lowest computed polymorph in eV/atom: 0.591
V in A^3/atom: 22.65
N(E_F) in states/eV/atom: 0.6541

```
data_Bi2BrO
_chemical_formula_sum 'Bi2 Br1 O1'
_space_group_name_H-M_alt 'P 1'
_space_group_IT_number 1
_space_group_name_Hall 'P 1'
_cell_length_a 5.041
_cell_length_b 5.041
_cell_length_c 5.041
_cell_angle_alpha 60.00
_cell_angle_beta 60.00
_cell_angle_gamma 60.00
loop_
_atom_site_label
_atom_site_fract_x
_atom_site_fract_y
_atom_site_fract_z
Bi1 0.250 0.250 0.250
Bi2 0.750 0.750 0.750
Br1 0.000 0.000 0.000
O1 0.500 0.500 0.500
```

---

# HfGeS2Cl

HfGeS2Cl after structural relaxation (GGA-PBE, Alexandria).

Space group: No. 123
ΔE to the lowest computed polymorph in eV/atom: 0.000
V in A^3/atom: 24.15
N(E_F) in states/eV/atom: 0.4239

```
data_HfGeS2Cl
_chemical_formula_sum 'Hf1 Ge1 S2 Cl1'
_space_group_name_H-M_alt 'P 1'
_space_group_IT_number 1
_space_group_name_Hall 'P 1'
_cell_length_a 4.962
_cell_length_b 4.962
_cell_length_c 4.904
_cell_angle_alpha 90.00
_cell_angle_beta 90.00
_cell_angle_gamma 90.00
loop_
_atom_site_label
_atom_site_fract_x
_atom_site_fract_y
_atom_site_fract_z
Hf1 0.000 0.000 0.000
Ge1 0.500 0.500 0.500
S1 0.000 0.500 0.000
S2 0.500 0.000 0.000
Cl1 0.000 0.000 0.500
```

---

# Hf2Al5RuRh2

Hf2Al5RuRh2 after structural relaxation (GGA-PBE, Alexandria).

Space group: No. 127
V in A^3/atom: 16.31
Formation energy from the elements in eV per atom: -0.64
N(E_F) in states/eV/atom: 0.5661

```
data_Hf2Al5RuRh2
_chemical_formula_sum 'Hf4 Al10 Ru2 Rh4'
_space_group_name_H-M_alt 'P 1'
_space_group_IT_number 1
_space_group_name_Hall 'P 1'
_cell_length_a 8.975
_cell_length_b 8.975
_cell_length_c 4.049
_cell_angle_alpha 90.00
_cell_angle_beta 90.00
_cell_angle_gamma 90.00
loop_
_atom_site_label
_atom_site_fract_x
_atom_site_fract_y
_atom_site_fract_z
Hf1 0.176 0.324 0.000
Hf2 0.324 0.824 0.000
Hf3 0.676 0.176 0.000
Hf4 0.824 0.676 0.000
Al1 0.000 0.500 0.500
Al2 0.062 0.800 0.500
Al3 0.200 0.062 0.500
Al4 0.300 0.562 0.500
Al5 0.438 0.300 0.500
Al6 0.500 0.000 0.500
Al7 0.562 0.700 0.500
Al8 0.700 0.438 0.500
Al9 0.800 0.938 0.500
Al10 0.938 0.200 0.500
Ru1 0.000 0.000 0.000
Ru2 0.500 0.500 0.000
Rh1 0.120 0.620 0.000
Rh2 0.380 0.120 0.000
Rh3 0.620 0.880 0.000
Rh4 0.880 0.380 0.000
```

---

- The lowest V belongs to which entry?
  BeCoAu2

---

- Among the records above, which one has the highest V?
  HfGeS2Cl